--- P ---
# PaNiH2, relaxed, DFT PBE
data_PaNiH2
_chemical_formula_sum 'Pa4 Ni4 H8'
_cell_length_a 3.700
_cell_length_b 11.756
_cell_length_c 4.004
_cell_angle_alpha 90.00
_cell_angle_beta 90.00
_cell_angle_gamma 90.00
_symmetry_space_group_name_H-M 'C m c m'
_symmetry_Int_Tables_number 63
_symmetry_space_group_name_Hall '-C 2c 2'
loop_
_atom_site_label
_atom_site_type_symbol
_atom_site_fract_x
_atom_site_fract_y
_atom_site_fract_z
Pa1 Pa 0.000 0.141 0.250
Ni1 Ni 0.000 0.428 0.250
H1 H 0.000 0.054 0.750
H2 H 0.000 0.243 0.750
# Total moment: 0.0000 μB per atom
# Volume: 174.2 Å³/cell

--- Q ---
# PaNiH2, relaxed, DFT PBE
data_PaNiH2
_chemical_formula_sum 'Pa1 Ni1 H2'
_cell_length_a 3.169
_cell_length_b 3.437
_cell_length_c 3.910
_cell_angle_alpha 90.00
_cell_angle_beta 90.00
_cell_angle_gamma 90.00
_symmetry_space_group_name_H-M 'P m m 2'
_symmetry_Int_Tables_number 25
loop_
_symmetry_equiv_pos_as_xyz
'x,y,z'
'-x,-y,z'
'-x,y,z'
'x,-y,z'
loop_
_atom_site_label
_atom_site_type_symbol
_atom_site_fract_x
_atom_site_fract_y
_atom_site_fract_z
Pa1 Pa 0.000 0.000 0.000
Ni1 Ni 0.500 0.500 0.513
H1 H 0.500 0.000 0.515
H2 H 0.500 0.500 0.075
# Total moment: 0.0001 μB per atom
# Volume: 42.6 Å³/cell

How far above the most stable structure does each one sit? In meV per atom: P 0; Q 177.

--- P ---
# NiH2Pb, relaxed, DFT PBE
data_NiH2Pb
_chemical_formula_sum 'Ni4 H8 Pb4'
_cell_length_a 5.753
_cell_length_b 5.753
_cell_length_c 5.753
_cell_angle_alpha 90.00
_cell_angle_beta 90.00
_cell_angle_gamma 90.00
_symmetry_space_group_name_H-M 'F m -3 m'
_symmetry_Int_Tables_number 225
_symmetry_space_group_name_Hall '-F 4 2 3'
loop_
_atom_site_label
_atom_site_type_symbol
_atom_site_fract_x
_atom_site_fract_y
_atom_site_fract_z
Ni1 Ni 0.000 0.000 0.000
H1 H 0.250 0.250 0.250
Pb1 Pb 0.000 0.000 0.500
# Total moment: 0.0001 μB per atom
# Volume: 190.4 Å³/cell

--- Q ---
# NiH2Pb, relaxed, DFT PBE
data_NiH2Pb
_chemical_formula_sum 'Ni3 H6 Pb3'
_cell_length_a 3.1009
_cell_length_b 3.1009
_cell_length_c 16.6785
_cell_angle_alpha 90.00
_cell_angle_beta 90.00
_cell_angle_gamma 120.00
_symmetry_space_group_name_H-M 'R -3 m'
_symmetry_Int_Tables_number 166
_symmetry_space_group_name_Hall '-R 3 2"'
loop_
_atom_site_label
_atom_site_type_symbol
_atom_site_fract_x
_atom_site_fract_y
_atom_site_fract_z
Ni1 Ni 0.0000 0.0000 0.0000
H1 H 0.0000 0.0000 0.3029
Pb1 Pb 0.0000 0.0000 0.5000
# Total moment: 0.0000 μB per atom
# Volume: 138.9 Å³/cell

--- R ---
# NiH2Pb, relaxed, DFT PBE
data_NiH2Pb
_chemical_formula_sum 'Ni4 H8 Pb4'
_cell_length_a 4.889
_cell_length_b 4.848
_cell_length_c 10.243
_cell_angle_alpha 90.00
_cell_angle_beta 118.44
_cell_angle_gamma 90.00
_symmetry_space_group_name_H-M 'P 1 21/c 1'
_symmetry_Int_Tables_number 14
loop_
_symmetry_equiv_pos_as_xyz
'x,y,z'
'-x,-y,-z'
'-x,y+1/2,-z+1/2'
'x,-y+1/2,z+1/2'
loop_
_atom_site_label
_atom_site_type_symbol
_atom_site_fract_x
_atom_site_fract_y
_atom_site_fract_z
Ni1 Ni 0.249 0.000 0.000
H1 H 0.002 0.224 0.002
H2 H 0.428 0.674 0.428
Pb1 Pb 0.290 0.101 0.291
# Total moment: 0.0000 μB per atom
# Volume: 213.5 Å³/cell

--- S ---
# NiH2Pb, relaxed, DFT PBE
data_NiH2Pb
_chemical_formula_sum 'Ni4 H8 Pb4'
_cell_length_a 4.722
_cell_length_b 4.722
_cell_length_c 8.877
_cell_angle_alpha 90.00
_cell_angle_beta 90.00
_cell_angle_gamma 90.00
_symmetry_space_group_name_H-M 'I -4 2 d'
_symmetry_Int_Tables_number 122
_symmetry_space_group_name_Hall 'I -4 2bw'
loop_
_atom_site_label
_atom_site_type_symbol
_atom_site_fract_x
_atom_site_fract_y
_atom_site_fract_z
Ni1 Ni 0.000 0.000 0.000
H1 H 0.003 0.750 0.125
Pb1 Pb 0.000 0.000 0.500
# Total moment: 0.0000 μB per atom
# Volume: 198.0 Å³/cell

How far above the most stable structure does each one sit? In meV per atom: P 763; Q 245; R 0; S 103.

--- P ---
# NiHPb2, relaxed, DFT PBE
data_NiHPb2
_chemical_formula_sum 'Ni4 H4 Pb8'
_cell_length_a 5.253
_cell_length_b 5.253
_cell_length_c 12.764
_cell_angle_alpha 90.00
_cell_angle_beta 90.00
_cell_angle_gamma 90.00
_symmetry_space_group_name_H-M 'I -4 2 d'
_symmetry_Int_Tables_number 122
_symmetry_space_group_name_Hall 'I -4 2bw'
loop_
_atom_site_label
_atom_site_type_symbol
_atom_site_fract_x
_atom_site_fract_y
_atom_site_fract_z
Ni1 Ni 0.000 0.000 0.000
H1 H 0.000 0.000 0.500
Pb1 Pb 0.209 0.250 0.625
# Total moment: 0.0000 μB per atom
# Volume: 352.2 Å³/cell

--- Q ---
# NiHPb2, relaxed, DFT PBE
data_NiHPb2
_chemical_formula_sum 'Ni4 H4 Pb8'
_cell_length_a 6.629
_cell_length_b 6.629
_cell_length_c 6.629
_cell_angle_alpha 90.00
_cell_angle_beta 90.00
_cell_angle_gamma 90.00
_symmetry_space_group_name_H-M 'F m -3 m'
_symmetry_Int_Tables_number 225
_symmetry_space_group_name_Hall '-F 4 2 3'
loop_
_atom_site_label
_atom_site_type_symbol
_atom_site_fract_x
_atom_site_fract_y
_atom_site_fract_z
Ni1 Ni 0.000 0.000 0.000
H1 H 0.000 0.000 0.500
Pb1 Pb 0.250 0.250 0.250
# Total moment: 0.0000 μB per atom
# Volume: 291.4 Å³/cell

How far above the most stable structure does each one sit? In meV per atom: P 32; Q 0.

--- P ---
# NiHPb3, relaxed, DFT PBE
data_NiHPb3
_chemical_formula_sum 'Ni1 H1 Pb3'
_cell_length_a 4.785
_cell_length_b 4.785
_cell_length_c 4.785
_cell_angle_alpha 90.00
_cell_angle_beta 90.00
_cell_angle_gamma 90.00
_symmetry_space_group_name_H-M 'P m -3 m'
_symmetry_Int_Tables_number 221
_symmetry_space_group_name_Hall '-P 4 2 3'
loop_
_atom_site_label
_atom_site_type_symbol
_atom_site_fract_x
_atom_site_fract_y
_atom_site_fract_z
Ni1 Ni 0.000 0.000 0.000
H1 H 0.500 0.500 0.500
Pb1 Pb 0.000 0.500 0.500
# Total moment: 0.0000 μB per atom
# Volume: 109.6 Å³/cell

--- Q ---
# NiHPb3, relaxed, DFT PBE
data_NiHPb3
_chemical_formula_sum 'Ni1 H1 Pb3'
_cell_length_a 5.120
_cell_length_b 5.120
_cell_length_c 5.120
_cell_angle_alpha 90.00
_cell_angle_beta 90.00
_cell_angle_gamma 90.00
_symmetry_space_group_name_H-M 'P m -3 m'
_symmetry_Int_Tables_number 221
_symmetry_space_group_name_Hall '-P 4 2 3'
loop_
_atom_site_label
_atom_site_type_symbol
_atom_site_fract_x
_atom_site_fract_y
_atom_site_fract_z
Ni1 Ni 0.000 0.000 0.000
H1 H 0.500 0.500 0.500
Pb1 Pb 0.000 0.000 0.500
# Total moment: 0.0000 μB per atom
# Volume: 134.2 Å³/cell

How far above the most stable structure does each one sit? In meV per atom: P 0; Q 33.